Compound: KLaN2O
Source: Alexandria via LeMat-Bulk
Functional: PBE-GGA
Structure: optimized geometry

Structure (POSCAR):
```
KLaN2O
1.0
-0.0043 2.4591 3.4618
-3.6852 -1.7220 1.2186
2.2329 -3.1788 2.2608
K N O La
1 2 1 1
Cartesian
0.0000 0.0000 0.0000 K
-1.8426 -0.8610 0.6093 N
-0.0022 1.2295 1.7309 N
1.1164 -1.5894 1.1304 O
-0.7283 -1.2208 3.4706 La
```

Summary:
* crystal system: tetragonal
* spin magnetization: 1.59 Bohr magnetons per cell
* energy relative to the elements, uncorrected: 4.5 eV/f.u.
* uncorrected energy: -23.2 eV per cell